Compound: CuSiIr2
Source: Alexandria
Functional: PBE
Structure: optimized geometry

Computed properties:
Calculated volume, A^3/atom: 15.14
Energy relative to the elements, uncorrected, meV/atom: 272

Unit cell a=3.806 b=3.806 c=16.727 alpha=90.00 beta=90.00 gamma=90.00
Space group I-42d (No. 122)
One atom of each set of equivalent atoms:
Cu1 0.000 0.000 0.000 (multiplicity 4)
Si1 0.000 0.000 0.500 (multiplicity 4)
Ir1 0.236 0.250 0.125 (multiplicity 8)



Compound: CuSi2Ir
Source: Alexandria
Functional: PBE
Structure: optimized geometry

Computed properties:
Calculated volume, A^3/atom: 14.44
Distance to the lowest polymorph of the same formula, eV/atom: 0.085
Energy relative to the elements, uncorrected, meV/atom: -147

Unit cell a=2.725 b=3.729 c=11.363 alpha=90.00 beta=90.00 gamma=90.00
Space group Imm2 (No. 44)
One atom of each set of equivalent atoms:
Cu1 0.000 0.000 0.000 (multiplicity 2)
Si1 0.000 0.000 0.412 (multiplicity 2)
Si2 0.000 0.500 0.153 (multiplicity 2)
Ir1 0.000 0.500 0.729 (multiplicity 2)



Compound: CuSi2Ir2
Source: Alexandria
Functional: PBE
Structure: optimized geometry

Computed properties:
Calculated volume, A^3/atom: 13.92
Distance to the lowest polymorph of the same formula, eV/atom: 0.000
Energy relative to the elements, uncorrected, meV/atom: -406

Unit cell a=7.071 b=7.071 c=2.784 alpha=90.00 beta=90.00 gamma=90.00
Space group P4/mbm (No. 127)
One atom of each set of equivalent atoms:
Cu1 0.000 0.000 0.000 (multiplicity 2)
Si1 0.152 0.348 0.500 (multiplicity 4)
Ir1 0.146 0.646 0.000 (multiplicity 4)



Compound: CuSi3Ir
Source: Alexandria
Functional: PBE
Structure: optimized geometry

Computed properties:
Calculated volume, A^3/atom: 19.95
Distance to the lowest polymorph of the same formula, eV/atom: 0.000
Energy relative to the elements, uncorrected, meV/atom: 669

Unit cell a=4.638 b=4.638 c=4.638 alpha=90.00 beta=90.00 gamma=90.00
Space group Pm-3m (No. 221)
One atom of each set of equivalent atoms:
Cu1 0.000 0.000 0.000 (multiplicity 1)
Si1 0.000 0.500 0.500 (multiplicity 3)
Ir1 0.500 0.500 0.500 (multiplicity 1)



Compound: CuSi2Ir
Source: Alexandria
Functional: PBE
Structure: optimized geometry

Computed properties:
Calculated volume, A^3/atom: 13.52
Distance to the lowest polymorph of the same formula, eV/atom: 0.007
Energy relative to the elements, uncorrected, meV/atom: -225

Unit cell a=3.335 b=3.335 c=4.863 alpha=90.00 beta=90.00 gamma=90.00
Space group P4mm (No. 99)
One atom of each set of equivalent atoms:
Cu1 0.000 0.000 0.000 (multiplicity 1)
Si1 0.000 0.000 0.508 (multiplicity 1)
Si2 0.500 0.500 0.818 (multiplicity 1)
Ir1 0.500 0.500 0.321 (multiplicity 1)



Compound: CuSiIr
Source: Alexandria
Functional: PBE
Structure: optimized geometry

Computed properties:
Calculated volume, A^3/atom: 13.81
Distance to the lowest polymorph of the same formula, eV/atom: 0.426
Energy relative to the elements, uncorrected, meV/atom: 81

Unit cell a=2.825 b=4.766 c=12.307 alpha=90.00 beta=90.00 gamma=90.00
Space group Fmm2 (No. 42)
One atom of each set of equivalent atoms:
Cu1 0.000 0.000 0.000 (multiplicity 4)
Si1 0.000 0.000 0.658 (multiplicity 4)
Ir1 0.000 0.000 0.315 (multiplicity 4)



Compound: CuSiIr2
Source: Alexandria
Functional: PBE
Structure: optimized geometry

Computed properties:
Calculated volume, A^3/atom: 13.87
Energy relative to the elements, uncorrected, meV/atom: 25

Unit cell a=2.755 b=4.218 c=4.774 alpha=90.00 beta=90.00 gamma=90.00
Space group Pmmm (No. 47)
One atom of each set of equivalent atoms:
Cu1 0.000 0.000 0.000 (multiplicity 1)
Si1 0.500 0.000 0.500 (multiplicity 1)
Ir1 0.000 0.500 0.500 (multiplicity 1)
Ir2 0.500 0.500 0.000 (multiplicity 1)



Compound: Cu3SiIr
Source: Alexandria
Functional: PBE
Structure: optimized geometry

Computed properties:
Calculated volume, A^3/atom: 15.28
Distance to the lowest polymorph of the same formula, eV/atom: 0.000
Energy relative to the elements, uncorrected, meV/atom: 859

Unit cell a=4.243 b=4.243 c=4.243 alpha=90.00 beta=90.00 gamma=90.00
Space group Pm-3m (No. 221)
One atom of each set of equivalent atoms:
Cu1 0.000 0.000 0.500 (multiplicity 3)
Si1 0.000 0.000 0.000 (multiplicity 1)
Ir1 0.500 0.500 0.500 (multiplicity 1)



> Which formula does entry 5 have?

CuSi2Ir



> The lowest calculated volume belongs to which entry?

number 5